The following is a DFT calculation (meta-GGA SCAN) of a crystal of CrNi2GePb relaxed with PBEsol.

Cell and atoms, written as CIF:
```
data_CrNi2GePb
_space_group_name_H-M_alt 'P 4/m m m'
_space_group_IT_number 123
_space_group_name_Hall '-P 4 2'
_cell_length_a 4.398
_cell_length_b 4.398
_cell_length_c 4.559
_cell_angle_alpha 90.00
_cell_angle_beta 90.00
_cell_angle_gamma 90.00
loop_
_atom_site_label
_atom_site_type_symbol
_atom_site_fract_x
_atom_site_fract_y
_atom_site_fract_z
_atom_site_occupancy
Cr1 Cr 0.000 0.000 0.000 1
Ni1 Ni 0.000 0.500 0.000 1
Ge1 Ge 0.000 0.000 0.500 1
Pb1 Pb 0.500 0.500 0.500 1
```

Formation energy from the elements (eV/atom): 0.8839


The following is a DFT calculation (meta-GGA SCAN) of a crystal of TaHgAs2 relaxed with PBEsol.

Cell and atoms, written as CIF:
```
data_TaHgAs2
_space_group_name_H-M_alt 'C m m 2'
_space_group_IT_number 35
_space_group_name_Hall 'C 2 -2'
_cell_length_a 3.448
_cell_length_b 4.720
_cell_length_c 9.481
_cell_angle_alpha 90.00
_cell_angle_beta 90.00
_cell_angle_gamma 90.00
loop_
_atom_site_label
_atom_site_type_symbol
_atom_site_fract_x
_atom_site_fract_y
_atom_site_fract_z
_atom_site_occupancy
Ta1 Ta 0.000 0.000 0.000 1
Hg1 Hg 0.000 0.500 0.246 1
As1 As 0.000 0.000 0.487 1
As2 As 0.000 0.500 0.790 1
```

Formation energy from the elements (eV/atom): 0.2584


The following is a DFT calculation (meta-GGA SCAN) of a crystal of Co2TcPt relaxed with PBEsol.

Cell and atoms, written as CIF:
```
data_Co2TcPt
_space_group_name_H-M_alt 'C 1 m 1'
_space_group_IT_number 8
_space_group_name_Hall 'C -2y'
_cell_length_a 8.636
_cell_length_b 2.615
_cell_length_c 4.434
_cell_angle_alpha 90.00
_cell_angle_beta 100.58
_cell_angle_gamma 90.00
loop_
_atom_site_label
_atom_site_type_symbol
_atom_site_fract_x
_atom_site_fract_y
_atom_site_fract_z
_atom_site_occupancy
Co1 Co 0.000 0.000 0.000 1
Co2 Co 0.241 0.500 0.237 1
Tc1 Tc 0.491 0.000 0.470 1
Pt1 Pt 0.247 0.000 0.744 1
```

Formation energy from the elements (eV/atom): 0.0448
Relative energy among the computed polymorphs (eV/f.u.): 0.29


The following is a DFT calculation (meta-GGA SCAN) of a crystal of Rb2SbAs2 relaxed with PBEsol.

Cell and atoms, written as CIF:
```
data_Rb2SbAs2
_space_group_name_H-M_alt 'P 4/m b m'
_space_group_IT_number 127
_space_group_name_Hall '-P 4 2ab'
_cell_length_a 10.183
_cell_length_b 10.183
_cell_length_c 2.954
_cell_angle_alpha 90.00
_cell_angle_beta 90.00
_cell_angle_gamma 90.00
loop_
_atom_site_label
_atom_site_type_symbol
_atom_site_fract_x
_atom_site_fract_y
_atom_site_fract_z
_atom_site_occupancy
Rb1 Rb 0.121 0.379 0.000 1
Sb1 Sb 0.000 0.000 0.000 1
As1 As 0.179 0.679 0.500 1
```

Relative energy among the computed polymorphs (eV/f.u.): 2.66
ΔE_f (raw) (eV per atom): 0.284


The following is a DFT calculation (meta-GGA SCAN) of a crystal of ZrCdW relaxed with PBEsol.

Cell and atoms, written as CIF:
```
data_ZrCdW
_space_group_name_H-M_alt 'F -4 3 m'
_space_group_IT_number 216
_space_group_name_Hall 'F -4 2 3'
_cell_length_a 6.506
_cell_length_b 6.506
_cell_length_c 6.506
_cell_angle_alpha 90.00
_cell_angle_beta 90.00
_cell_angle_gamma 90.00
loop_
_atom_site_label
_atom_site_type_symbol
_atom_site_fract_x
_atom_site_fract_y
_atom_site_fract_z
_atom_site_occupancy
Zr1 Zr 0.000 0.000 0.000 1
Cd1 Cd 0.250 0.250 0.750 1
W1 W 0.250 0.250 0.250 1
```

Formation energy from the elements (eV/atom): 1.4269
Relative energy among the computed polymorphs (eV/f.u.): 3.39


The following is a DFT calculation (meta-GGA SCAN) of a crystal of YCoOs3 relaxed with PBEsol.

Cell and atoms, written as CIF:
```
data_YCoOs3
_space_group_name_H-M_alt 'P m -3 m'
_space_group_IT_number 221
_space_group_name_Hall '-P 4 2 3'
_cell_length_a 4.693
_cell_length_b 4.693
_cell_length_c 4.693
_cell_angle_alpha 90.00
_cell_angle_beta 90.00
_cell_angle_gamma 90.00
loop_
_atom_site_label
_atom_site_type_symbol
_atom_site_fract_x
_atom_site_fract_y
_atom_site_fract_z
_atom_site_occupancy
Y1 Y 0.000 0.000 0.000 1
Co1 Co 0.500 0.500 0.500 1
Os1 Os 0.000 0.000 0.500 1
```

Formation energy from the elements (eV/atom): 3.3159


The following is a DFT calculation (meta-GGA SCAN) of a crystal of YMgTe relaxed with PBEsol.

Cell and atoms, written as CIF:
```
data_YMgTe
_space_group_name_H-M_alt 'F -4 3 m'
_space_group_IT_number 216
_space_group_name_Hall 'F -4 2 3'
_cell_length_a 7.033
_cell_length_b 7.033
_cell_length_c 7.033
_cell_angle_alpha 90.00
_cell_angle_beta 90.00
_cell_angle_gamma 90.00
loop_
_atom_site_label
_atom_site_type_symbol
_atom_site_fract_x
_atom_site_fract_y
_atom_site_fract_z
_atom_site_occupancy
Y1 Y 0.000 0.000 0.000 1
Mg1 Mg 0.250 0.250 0.750 1
Te1 Te 0.000 0.000 0.500 1
```

Relative energy among the computed polymorphs (eV/f.u.): 1.82
ΔE_f (raw) (eV per atom): -0.064


The following is a DFT calculation (meta-GGA SCAN) of a crystal of LiNiRh2 relaxed with PBEsol.

Cell and atoms, written as CIF:
```
data_LiNiRh2
_space_group_name_H-M_alt 'C 1 m 1'
_space_group_IT_number 8
_space_group_name_Hall 'C -2y'
_cell_length_a 8.694
_cell_length_b 2.619
_cell_length_c 4.367
_cell_angle_alpha 90.00
_cell_angle_beta 99.90
_cell_angle_gamma 90.00
loop_
_atom_site_label
_atom_site_type_symbol
_atom_site_fract_x
_atom_site_fract_y
_atom_site_fract_z
_atom_site_occupancy
Li1 Li 0.000 0.000 0.000 1
Ni1 Ni 0.246 0.000 0.779 1
Rh1 Rh 0.006 0.500 0.506 1
Rh2 Rh 0.259 0.500 0.284 1
```

Formation energy from the elements (eV/atom): -0.0306
Relative energy among the computed polymorphs (eV/f.u.): 0.14


no.,density of states at the Fermi level (states/eV per cell),E_tot (Ry per atom)
1,4.70,-2.0753
2,3.95,-3.1990
3,7.86,-2.5666
4,7.31,-1.7302
5,14.43,-3.0997
6,4.98,-3.5898
7,6.44,-1.7213
8,8.40,-1.5844